The following is a PBE+U calculation of a relaxed LaMnN2O crystal, from Alexandria via LeMat-Bulk.

Geometry as CIF:
```
data_LaMnN2O
_chemical_formula_sum 'La1 Mn1 N2 O1'
_space_group_name_H-M_alt 'P 4/m m m'
_space_group_IT_number 123
_space_group_name_Hall '-P 4 2'
_cell_length_a 4.3409
_cell_length_b 4.3409
_cell_length_c 4.4456
_cell_angle_alpha 90.00
_cell_angle_beta 90.00
_cell_angle_gamma 90.00
loop_
_atom_site_label
_atom_site_fract_x
_atom_site_fract_y
_atom_site_fract_z
_atom_site_occupancy
La1 0.0000 0.0000 0.0000 1
Mn1 0.5000 0.5000 0.5000 1
N1 0.0000 0.5000 0.0000 1
O1 0.0000 0.0000 0.5000 1
```

Computed properties:
- calculated total energy (eV/f.u.) = -28.62